## Sc2P2S (PBE)

Data for a relaxed Sc2P2S crystal.

a b c (Å): 6.922 6.922 3.766
angles (deg): 90.00 90.00 90.00
Atoms (fractional coordinates):
Sc1 0.181 0.319 0.000
Sc2 0.319 0.819 0.000
Sc3 0.681 0.181 0.000
Sc4 0.819 0.681 0.000
P1 0.112 0.612 0.500
P2 0.388 0.112 0.500
P3 0.612 0.888 0.500
P4 0.888 0.388 0.500
S1 0.000 0.000 0.000
S2 0.500 0.500 0.000

Output
Total magnetic moment ... 0.00 Bohr magnetons per cell
Mass density ... 3385 kg/m3
Electronic total energy ... -6.7040 eV/atom



## V2ReHRu (PBE)

Data for a relaxed V2ReHRu crystal.

a b c (Å): 4.142 4.142 3.401
angles (deg): 90.00 90.00 90.00
Atoms (fractional coordinates):
V1 0.000 0.500 0.000
V2 0.500 0.000 0.000
Re1 0.000 0.000 0.500
H1 0.500 0.500 0.000
Ru1 0.500 0.500 0.500

Output
Total magnetic moment ... 0.00 Bohr magnetons per cell
Mass density ... 11106 kg/m3
Electronic total energy ... -8.7450 eV/atom